[1]
Material: LiPmGa2
Method: DFT, PBE
State: relaxed

```
LiPmGa2
1.0
-1.130 3.260 -1.666
-0.386 -2.268 -4.175
-4.538 -1.064 0.997
Li Ga Pm
1 2 1
direct
0.500 0.000 0.000
0.000 0.000 0.500
0.000 0.500 0.000
0.500 0.500 0.500
```

Properties
D(E_F) ... 1.22 states/eV/f.u.
ΔH_f (0 K) ... -401 meV/atom
VASP energy ... -14.32 eV/cell

***

[2]
Material: Li2PmGa6
Method: DFT, PBE
State: relaxed

```
Li2PmGa6
1.0
4.099 0.000 0.000
2.050 6.917 0.676
2.050 2.633 6.432
Ga Li Pm
6 2 1
direct
0.807 0.507 0.880
0.807 0.880 0.507
0.000 0.829 0.171
0.193 0.120 0.493
0.000 0.171 0.829
0.193 0.493 0.120
0.384 0.116 0.116
0.616 0.884 0.884
0.500 0.500 0.500
```

Properties
D(E_F) ... 3.53 states/eV/f.u.
ΔH_f (0 K) ... -319 meV/atom
VASP energy ... -29.61 eV/cell